[1]
The following is a DFT calculation (PBE) of AcLa4Sm6 after structural relaxation.

abc: 9.9087 9.9087 9.9087
angles: 139.16 139.16 59.13
Last column: nearest neighbours and their distance in Å.
Fractional coordinates of all 11 atoms:
Ac  0.0000  0.0000  0.0000  8 Sm 3.46-3.79, 4 La 3.63
La  0.0123  0.0123  0.3844  5 Sm 3.48-3.85, 1 Ac 3.63, 1 La 3.76
La  0.3720  0.9877  0.0000  5 Sm 3.48-3.85, 1 Ac 3.63, 1 La 3.76
La  0.6280  0.6280  0.6156  5 Sm 3.48-3.85, 1 Ac 3.63, 1 La 3.76
La  0.9877  0.3720  0.0000  5 Sm 3.48-3.85, 1 Ac 3.63, 1 La 3.76
Sm  0.0000  0.5000  0.5000  4 Sm 3.27, 2 Ac 3.46
Sm  0.2074  0.5554  0.0000  3 Sm 3.27-3.40, 3 La 3.48-3.61
Sm  0.4446  0.4446  0.6520  3 Sm 3.27-3.40, 3 La 3.48-3.61
Sm  0.5000  0.0000  0.5000  4 Sm 3.27, 2 Ac 3.46
Sm  0.5554  0.2074  0.0000  3 Sm 3.27-3.40, 3 La 3.48-3.61
Sm  0.7926  0.7926  0.3480  3 Sm 3.27-3.40, 3 La 3.48-3.61

Summary:
As for the symmetry: I-42m (121).

---

[2]
The following is a DFT calculation (PBE) of Ac7La2Sm2 after structural relaxation.

abc: 8.7418 8.7418 6.6650
angles: 105.24 105.24 93.74
Last column: nearest neighbours and their distance in Å.
Fractional coordinates of all 11 atoms:
Ac  0.0000  0.0000  0.0000  6 Ac 3.71
Ac  0.0737  0.5801  0.8170  2 Sm 3.49-3.67, 4 Ac 3.58-3.91
Ac  0.2194  0.2194  0.5734  5 Ac 3.62-3.99, 2 Sm 3.80, 3 La 3.94-4.02
Ac  0.4199  0.9263  0.1830  2 Sm 3.49-3.67, 4 Ac 3.58-3.91
Ac  0.5801  0.0737  0.8170  2 Sm 3.49-3.67, 4 Ac 3.58-3.91
Ac  0.7806  0.7806  0.4266  5 Ac 3.62-3.99, 2 Sm 3.80, 3 La 3.94-4.02
Ac  0.9263  0.4199  0.1830  2 Sm 3.49-3.67, 4 Ac 3.58-3.91
La  0.4164  0.4164  0.2030  2 La 3.69-3.93, 5 Ac 3.94-4.02, 2 Sm 3.96
La  0.5836  0.5836  0.7970  2 La 3.69-3.93, 5 Ac 3.94-4.02, 2 Sm 3.96
Sm  0.2257  0.7743  0.5000  6 Ac 3.49-3.80
Sm  0.7743  0.2257  0.5000  6 Ac 3.49-3.80

Summary:
As for the symmetry: C2/m (12).

---

[3]
The following is a DFT calculation (PBE) of AcLa5Sm2 after structural relaxation.

abc: 9.6745 9.6745 9.6745
angles: 124.00 124.00 83.21
Last column: nearest neighbours and their distance in Å.
Fractional coordinates of all 16 atoms:
Ac  0.2500  0.2500  0.0000  10 La 3.62-3.69
Ac  0.7500  0.7500  0.0000  10 La 3.62-3.69
La  0.0000  0.0000  0.0000  4 Sm 3.48, 2 Ac 3.62
La  0.0130  0.5130  0.2013  3 Sm 3.53-3.56, 4 La 3.62-3.84, 2 Ac 3.69
La  0.1883  0.9870  0.5000  3 Sm 3.53-3.56, 4 La 3.62-3.84, 2 Ac 3.69
La  0.3117  0.8117  0.7987  3 Sm 3.53-3.56, 4 La 3.62-3.84, 2 Ac 3.69
La  0.4870  0.6883  0.5000  3 Sm 3.53-3.56, 4 La 3.62-3.84, 2 Ac 3.69
La  0.5000  0.5000  0.0000  4 Sm 3.48, 2 Ac 3.62
La  0.5130  0.3117  0.5000  3 Sm 3.53-3.56, 4 La 3.62-3.84, 2 Ac 3.69
La  0.6883  0.1883  0.2013  3 Sm 3.53-3.56, 4 La 3.62-3.84, 2 Ac 3.69
La  0.8117  0.0130  0.5000  3 Sm 3.53-3.56, 4 La 3.62-3.84, 2 Ac 3.69
La  0.9870  0.4870  0.7987  3 Sm 3.53-3.56, 4 La 3.62-3.84, 2 Ac 3.69
Sm  0.1453  0.3547  0.5000  8 La 3.48-3.56, 1 Sm 3.73
Sm  0.3547  0.8547  0.2094  8 La 3.48-3.56, 1 Sm 3.73
Sm  0.6453  0.1453  0.7906  8 La 3.48-3.56, 1 Sm 3.73
Sm  0.8547  0.6453  0.5000  8 La 3.48-3.56, 1 Sm 3.73

Summary:
As for the symmetry: I4/mcm (140).

---

[4]
The following is a DFT calculation (PBE) of Ac3La2Sm6 after structural relaxation.

abc: 6.6983 6.6983 11.5237
angles: 94.06 94.06 124.28
Last column: nearest neighbours and their distance in Å.
Fractional coordinates of all 11 atoms:
Ac  0.0000  0.0000  0.0000  6 Sm 3.52-3.85, 6 Ac 3.73-3.89
Ac  0.3288  0.6712  0.0000  6 Sm 3.57-3.95, 5 Ac 3.64-3.89
Ac  0.6712  0.3288  0.0000  6 Sm 3.57-3.95, 5 Ac 3.64-3.89
La  0.3617  0.6383  0.5000  1 La 3.28, 4 Sm 3.35-3.45
La  0.6383  0.3617  0.5000  1 La 3.28, 4 Sm 3.35-3.45
Sm  0.0889  0.7761  0.2851  1 La 3.45, 5 Sm 3.63-3.84, 1 Ac 3.85
Sm  0.2239  0.9111  0.7149  1 La 3.45, 5 Sm 3.63-3.84, 1 Ac 3.85
Sm  0.4138  0.4138  0.2431  2 La 3.35, 3 Ac 3.52-3.57, 4 Sm 3.63-3.71
Sm  0.5862  0.5862  0.7569  2 La 3.35, 3 Ac 3.52-3.57, 4 Sm 3.63-3.71
Sm  0.7761  0.0889  0.2851  1 La 3.45, 5 Sm 3.63-3.84, 1 Ac 3.85
Sm  0.9111  0.2239  0.7149  1 La 3.45, 5 Sm 3.63-3.84, 1 Ac 3.85

Summary:
As for the symmetry: C2/m (12).

---

[5]
The following is a DFT calculation (PBE) of Ac5La4Sm after structural relaxation.

abc: 3.8811 3.8811 26.9023
angles: 90.00 90.00 90.00
Last column: nearest neighbours and their distance in Å.
Fractional coordinates of all 10 atoms:
Ac  0.0000  0.0000  0.0000  8 La 3.86, 4 Ac 3.88
Ac  0.0000  0.0000  0.2014  8 La 3.85-3.86, 4 Ac 3.88
Ac  0.0000  0.0000  0.4031  4 Sm 3.78, 4 La 3.85, 4 Ac 3.88
Ac  0.0000  0.0000  0.5969  4 Sm 3.78, 4 La 3.85, 4 Ac 3.88
Ac  0.0000  0.0000  0.7986  8 La 3.85-3.86, 4 Ac 3.88
La  0.5000  0.5000  0.1009  8 Ac 3.85-3.86, 4 La 3.88
La  0.5000  0.5000  0.3026  8 Ac 3.85-3.86, 4 La 3.88
La  0.5000  0.5000  0.6974  8 Ac 3.85-3.86, 4 La 3.88
La  0.5000  0.5000  0.8991  8 Ac 3.85-3.86, 4 La 3.88
Sm  0.5000  0.5000  0.5000  8 Ac 3.78, 4 Sm 3.88

Summary:
As for the symmetry: P4/mmm (123).

---

[6]
The following is a DFT calculation (PBE) of Ac15LaSm4 after structural relaxation.

abc: 5.5388 5.5388 27.5759
angles: 90.00 90.00 90.00
Last column: nearest neighbours and their distance in Å.
Fractional coordinates of all 20 atoms:
Ac  0.0000  0.0000  0.0000  4 La 3.92, 8 Ac 3.93
Ac  0.0000  0.0000  0.2014  8 Ac 3.89-3.91, 4 Sm 3.92
Ac  0.0000  0.0000  0.4003  8 Ac 3.90, 4 Sm 3.92
Ac  0.0000  0.0000  0.5997  8 Ac 3.90, 4 Sm 3.92
Ac  0.0000  0.0000  0.7986  8 Ac 3.89-3.91, 4 Sm 3.92
Ac  0.0000  0.5000  0.1014  2 Sm 3.90, 8 Ac 3.91-3.93, 2 La 3.93
Ac  0.0000  0.5000  0.3007  8 Ac 3.89-3.92, 4 Sm 3.90
Ac  0.0000  0.5000  0.5000  8 Ac 3.90-3.92, 4 Sm 3.90
Ac  0.0000  0.5000  0.6993  8 Ac 3.89-3.92, 4 Sm 3.90
Ac  0.0000  0.5000  0.8986  2 Sm 3.90, 8 Ac 3.91-3.93, 2 La 3.93
Ac  0.5000  0.0000  0.1014  2 Sm 3.90, 8 Ac 3.91-3.93, 2 La 3.93
Ac  0.5000  0.0000  0.3007  8 Ac 3.89-3.92, 4 Sm 3.90
Ac  0.5000  0.0000  0.5000  8 Ac 3.90-3.92, 4 Sm 3.90
Ac  0.5000  0.0000  0.6993  8 Ac 3.89-3.92, 4 Sm 3.90
Ac  0.5000  0.0000  0.8986  2 Sm 3.90, 8 Ac 3.91-3.93, 2 La 3.93
La  0.5000  0.5000  0.0000  12 Ac 3.92-3.93
Sm  0.5000  0.5000  0.2010  12 Ac 3.90-3.92
Sm  0.5000  0.5000  0.4003  12 Ac 3.90-3.92
Sm  0.5000  0.5000  0.5997  12 Ac 3.90-3.92
Sm  0.5000  0.5000  0.7990  12 Ac 3.90-3.92

Summary:
As for the symmetry: P4/mmm (123).

---

no.,final energy (eV/atom),ΔE_f (eV/atom),density of states at the Fermi level (states/eV/atom)
1,-4.443,0.30,1.46
2,-4.192,0.18,1.65
3,-4.663,0.11,1.76
4,-4.416,0.17,1.58
5,-4.469,0.03,2.08
6,-4.243,0.03,1.75